Entry from Alexandria: a relaxed structure of LiNi6P7O24 (PBE+U).

Properties
crystal system = monoclinic
D(E_F) = 0.00 states/eV per cell
space-group type = P2_1/m
total energy = -6.49 eV/atom

a = 5.3258 Å, b = 26.6305 Å, c = 6.3853 Å
α = 90.00°, β = 107.37°, γ = 90.00°
With the nearest neighbours (Å) after each atom.
Atoms (fractional coordinates):
Li 0.0826 0.2500 0.4595  3 O 1.90-1.93
Li 0.9174 0.7500 0.5405  3 O 1.90-1.93
Ni 0.1505 0.6809 0.2651  5 O 2.00-2.21
Ni 0.1505 0.8191 0.2651  5 O 2.00-2.21
Ni 0.1792 0.0964 0.0964  6 O 2.05-2.27
Ni 0.1792 0.4036 0.0964  6 O 2.05-2.27
Ni 0.2264 0.5529 0.6911  5 O 1.99-2.06
Ni 0.2264 0.9471 0.6911  5 O 1.99-2.06
Ni 0.7736 0.0529 0.3089  5 O 1.99-2.06
Ni 0.7736 0.4471 0.3089  5 O 1.99-2.06
Ni 0.8208 0.5964 0.9036  6 O 2.05-2.27
Ni 0.8208 0.9036 0.9036  6 O 2.05-2.27
Ni 0.8495 0.1809 0.7349  5 O 2.00-2.21
Ni 0.8495 0.3191 0.7349  5 O 2.00-2.21
P 0.2745 0.6678 0.8007  4 O 1.52-1.63
P 0.2745 0.8322 0.8007  4 O 1.52-1.63
P 0.2922 0.1078 0.6313  4 O 1.50-1.60
P 0.2922 0.3922 0.6313  4 O 1.50-1.60
P 0.3095 0.5257 0.2035  4 O 1.51-1.61
P 0.3095 0.9743 0.2035  4 O 1.51-1.61
P 0.4418 0.2500 0.9052  4 O 1.52-1.58
P 0.5582 0.7500 0.0948  4 O 1.52-1.58
P 0.6905 0.0257 0.7965  4 O 1.51-1.61
P 0.6905 0.4743 0.7965  4 O 1.51-1.61
P 0.7078 0.6078 0.3687  4 O 1.50-1.60
P 0.7078 0.8922 0.3687  4 O 1.50-1.60
P 0.7255 0.1678 0.1993  4 O 1.52-1.63
P 0.7255 0.3322 0.1993  4 O 1.52-1.63
O 0.0821 0.6650 0.9381  1 P 1.54
O 0.0821 0.8350 0.9381  1 P 1.54
O 0.1175 0.0941 0.3979  1 P 1.55
O 0.1175 0.4059 0.3979  1 P 1.55
O 0.1216 0.1229 0.7791  1 P 1.55
O 0.1216 0.3771 0.7791  1 P 1.55
O 0.1415 0.5490 0.9847  1 P 1.55
O 0.1415 0.9510 0.9847  1 P 1.55
O 0.1474 0.6937 0.5817  1 P 1.52
O 0.1474 0.8063 0.5817  1 P 1.52
O 0.1524 0.2500 0.7746  1 P 1.52
O 0.1815 0.5304 0.3847  1 P 1.51
O 0.1815 0.9696 0.3847  1 P 1.51
O 0.3603 0.7500 0.2249  1 P 1.52
O 0.3987 0.0280 0.1704  1 P 1.54
O 0.3987 0.4720 0.1704  1 P 1.54
O 0.4137 0.0549 0.7329  2 P 1.60-1.61
O 0.4137 0.4451 0.7329  2 P 1.60-1.61
O 0.4238 0.6195 0.7872  1 P 1.53
O 0.4238 0.8805 0.7872  1 P 1.53
O 0.4816 0.2035 0.0649  2 P 1.58-1.63
O 0.4816 0.2965 0.0649  2 P 1.58-1.63
O 0.4976 0.6455 0.3683  1 P 1.50
O 0.4976 0.8545 0.3683  1 P 1.50
O 0.5024 0.1455 0.6317  1 P 1.50
O 0.5024 0.3545 0.6317  1 P 1.50
O 0.5184 0.7035 0.9351  2 P 1.58-1.63
O 0.5184 0.7965 0.9351  2 P 1.58-1.63
O 0.5762 0.1195 0.2128  1 P 1.53
O 0.5762 0.3805 0.2128  1 P 1.53
O 0.5863 0.5549 0.2671  2 P 1.60-1.61
O 0.5863 0.9451 0.2671  2 P 1.60-1.61
O 0.6013 0.5280 0.8296  1 P 1.54
O 0.6013 0.9720 0.8296  1 P 1.54
O 0.6397 0.2500 0.7751  1 P 1.52
O 0.8185 0.0304 0.6153  1 P 1.51
O 0.8185 0.4696 0.6153  1 P 1.51
O 0.8476 0.7500 0.2254  1 P 1.52
O 0.8526 0.1937 0.4183  1 P 1.52
O 0.8526 0.3063 0.4183  1 P 1.52
O 0.8585 0.0490 0.0153  1 P 1.55
O 0.8585 0.4510 0.0153  1 P 1.55
O 0.8784 0.6229 0.2209  1 P 1.55
O 0.8784 0.8771 0.2209  1 P 1.55
O 0.8825 0.5941 0.6021  1 P 1.55
O 0.8825 0.9059 0.6021  1 P 1.55
O 0.9179 0.1650 0.0619  1 P 1.54
O 0.9179 0.3350 0.0619  1 P 1.54